[1]
This record from Alexandria via LeMat-Bulk describes a relaxed structure of MnSn2GeCl. The functional is PBE.

Values from the calculation:
- spin magnetization (μB per cell) = 0.0
- formation energy from raw total energies (kJ per mole of atoms) = -24.1
- total energy (eV per atom) = -4.9778

abc: 4.9822 4.9822 4.5553
angles: 90.00 90.00 90.00
Closest atoms and distances in Å follow each position.
Fractional coordinates of all 5 atoms:
Ge 0.0000 0.0000 0.5000  2 Mn 2.28
Mn 0.0000 0.0000 0.0000  2 Ge 2.28, 4 Sn 2.49
Sn 0.0000 0.5000 0.0000  2 Mn 2.49
Sn 0.5000 0.0000 0.0000  2 Mn 2.49
Cl 0.5000 0.5000 0.5000  8 Sn 3.38, 4 Ge 3.52

=====

[2]
This record from Alexandria via LeMat-Bulk describes a relaxed structure of BaCuAgF6. The functional is PBE.

Values from the calculation:
- spin magnetization (μB per cell) = 2.1
- formation energy from raw total energies (kJ per mole of atoms) = -209.1
- total energy (eV per atom) = -4.3999

abc: 5.8257 5.8270 5.2953
angles: 90.02 90.00 59.96
Closest atoms and distances in Å follow each position.
Fractional coordinates of all 9 atoms:
Ba 0.0001 0.0000 0.0000  6 F 2.65
Cu 0.3334 0.3333 0.5000  6 F 1.98
Ag 0.6666 0.6666 0.5000  6 F 2.34
F 0.0462 0.3451 0.2917  1 Cu 1.98
F 0.3449 0.0463 0.7080  1 Cu 1.98
F 0.6087 0.3450 0.7084  1 Cu 1.98
F 0.0460 0.6090 0.7082  1 Cu 1.98
F 0.3450 0.6087 0.2919  1 Cu 1.98
F 0.6090 0.0461 0.2917  1 Cu 1.98